(1)
Here is a geometry-optimized Fe2SnS2 structure from Alexandria via LeMat-Bulk. Energies are from GGA-PBEsol.

Lattice parameters (Å, degrees): 4.1600 4.1600 8.4576 90.00 90.00 90.00
With the nearest neighbours (Å) after each atom.
Space group I4/mmm (No. 139)
Asymmetric unit:
Fe  0.0000  0.0000  0.1383  4 S 2.28, 1 Fe 2.34
Sn  0.0000  0.0000  0.5000  8 S 2.97, 10 Fe 3.06-3.17
S  0.0000  0.5000  0.2500  4 Fe 2.28

Computed properties:
Fermi-level density of states   5.16 states/eV/f.u.
Electronic total energy   -6.15 eV per atom
Energy relative to the elements, uncorrected   0.0458 eV/atom

(2)
Here is a geometry-optimized SrFeS2 structure from Alexandria via LeMat-Bulk. Energies are from GGA-PBEsol.

Lattice parameters (Å, degrees): 6.7379 6.7379 6.7416 90.00 90.00 90.00
With the nearest neighbours (Å) after each atom.
Space group I-42d (No. 122)
Asymmetric unit:
Sr  0.0000  0.0000  0.0000  8 S 3.05-3.19, 2 Fe 3.37
Fe  0.0000  0.0000  0.5000  4 S 2.12
S  0.1434  0.2500  0.6250  2 Fe 2.12

Computed properties:
Fermi-level density of states   1.63 states/eV/f.u.
Electronic total energy   -5.99 eV per atom
Energy relative to the elements, uncorrected   -1.1003 eV/atom

(3)
Here is a geometry-optimized SrZnFeS2 structure from Alexandria via LeMat-Bulk. Energies are from GGA-PBEsol.

Lattice parameters (Å, degrees): 5.4002 5.4002 5.4052 90.00 90.00 90.00
With the nearest neighbours (Å) after each atom.
Space group P4/mmm (No. 123)
Asymmetric unit:
Sr  0.0000  0.0000  0.0000  4 S 2.70, 2 Zn 2.70
Zn  0.0000  0.0000  0.5000  2 Sr 2.70
Fe  0.5000  0.5000  0.5000  4 Zn 3.82, 8 S 3.82
S  0.0000  0.5000  0.0000  2 Sr 2.70

Computed properties:
Fermi-level density of states   9.32 states/eV/f.u.
Electronic total energy   -3.27 eV per atom
Energy relative to the elements, uncorrected   0.9593 eV/atom